Record 1
{
  "formula": "Gd2H5",
  "functional": "GGA-PBE",
  "state": "optimized geometry",
  "lattice": [[-2.592, 2.592, 5.245], [2.592, -2.592, 5.245], [2.592, 2.592, -5.245]],
  "species": ["Gd", "Gd", "Gd", "Gd", "H", "H", "H", "H", "H", "H", "H", "H", "H", "H"],
  "frac_coords": [[0.497, 0.497, 0.000], [0.991, 0.991, 0.000], [0.741, 0.241, 0.500], [0.247, 0.747, 0.500], [0.743, 0.743, 0.000], [0.887, 0.369, 0.018], [0.619, 0.137, 0.018], [0.351, 0.369, 0.482], [0.619, 0.601, 0.482], [0.493, 0.993, 0.500], [0.119, 0.137, 0.518], [0.887, 0.869, 0.518], [0.119, 0.601, 0.982], [0.351, 0.869, 0.982]],
  "spacegroup": "No. 109",
  "total_energy_ev_per_atom": -4.37
}

=====

Record 2
{
  "formula": "GdH2",
  "functional": "GGA-PBE",
  "state": "optimized geometry",
  "lattice": [[0.000, 3.298, 3.298], [3.298, 0.000, 3.298], [3.298, 3.298, 0.000]],
  "species": ["Gd", "Gd", "H", "H", "H", "H"],
  "frac_coords": [[0.000, 0.000, 0.000], [0.250, 0.250, 0.250], [0.625, 0.625, 0.125], [0.625, 0.125, 0.625], [0.125, 0.625, 0.625], [0.625, 0.625, 0.625]],
  "spacegroup": "No. 227",
  "total_energy_ev_per_atom": -3.16
}

=====

Record 3
{
  "formula": "GdH3",
  "functional": "GGA-PBE",
  "state": "optimized geometry",
  "lattice": [[5.578, 0.000, 0.000], [-2.789, 4.830, 0.000], [0.000, 0.000, 3.576]],
  "species": ["Gd", "Gd", "H", "H", "H", "H", "H", "H"],
  "frac_coords": [[0.333, 0.667, 0.250], [0.667, 0.333, 0.750], [0.679, 0.095, 0.250], [0.416, 0.321, 0.250], [0.905, 0.584, 0.250], [0.095, 0.416, 0.750], [0.584, 0.679, 0.750], [0.321, 0.905, 0.750]],
  "spacegroup": "No. 176",
  "total_energy_ev_per_atom": -4.23
}

=====

Record 4
{
  "formula": "GdH3",
  "functional": "GGA-PBE",
  "state": "optimized geometry",
  "lattice": [[-3.411, 1.117, 0.864], [0.541, -3.356, -1.440], [0.723, -2.486, 6.068]],
  "species": ["Gd", "Gd", "H", "H", "H", "H", "H", "H"],
  "frac_coords": [[0.833, 0.167, 0.250], [0.167, 0.833, 0.750], [0.167, 0.833, 0.095], [0.499, 0.501, 0.250], [0.167, 0.833, 0.405], [0.833, 0.167, 0.595], [0.501, 0.499, 0.750], [0.833, 0.167, 0.905]],
  "spacegroup": "No. 63",
  "total_energy_ev_per_atom": -4.29
}

=====

Record 5
{
  "formula": "GdHoH4",
  "functional": "GGA-PBE",
  "state": "optimized geometry",
  "lattice": [[3.666, 0.000, 0.000], [0.000, 3.666, 0.000], [0.000, 0.000, 5.179]],
  "species": ["Gd", "H", "H", "H", "H", "Ho"],
  "frac_coords": [[0.500, 0.500, 0.500], [0.500, 0.000, 0.244], [0.000, 0.500, 0.244], [0.500, 0.000, 0.756], [0.000, 0.500, 0.756], [0.000, 0.000, 0.000]],
  "spacegroup": "No. 123",
  "total_energy_ev_per_atom": -4.48
}

=====

Record 6
{
  "formula": "GdHoH2I4",
  "functional": "GGA-PBE",
  "state": "optimized geometry",
  "lattice": [[-2.129, 2.848, -1.839], [1.501, -3.053, -2.110], [-13.750, -8.579, 2.631]],
  "species": ["Gd", "H", "H", "Ho", "I", "I", "I", "I"],
  "frac_coords": [[0.000, 0.000, 0.000], [0.333, 0.667, 0.000], [0.667, 0.333, 0.500], [0.000, 0.000, 0.500], [0.667, 0.333, 0.130], [0.333, 0.667, 0.372], [0.333, 0.667, 0.628], [0.667, 0.333, 0.870]],
  "spacegroup": "No. 187",
  "total_energy_ev_per_atom": -3.96
}

=====

Record 7
{
  "formula": "LaGdH2I4",
  "functional": "GGA-PBE",
  "state": "optimized geometry",
  "lattice": [[4.129, 0.000, 0.000], [-2.065, 3.576, 0.000], [0.000, 0.000, 16.612]],
  "species": ["Gd", "H", "H", "I", "I", "I", "I", "La"],
  "frac_coords": [[0.000, 0.000, 0.000], [0.667, 0.333, 0.000], [0.333, 0.667, 0.500], [0.333, 0.667, 0.126], [0.667, 0.333, 0.366], [0.667, 0.333, 0.634], [0.333, 0.667, 0.874], [0.000, 0.000, 0.500]],
  "spacegroup": "No. 187",
  "total_energy_ev_per_atom": -4.06
}

=====

Record 8
{
  "formula": "GdH2I3O10",
  "functional": "GGA-PBE",
  "state": "optimized geometry",
  "lattice": [[7.152, 0.000, -0.030], [0.000, 6.424, 0.000], [-3.307, 0.000, 9.213]],
  "species": ["Gd", "Gd", "H", "H", "H", "H", "I", "I", "I", "I", "I", "I", "O", "O", "O", "O", "O", "O", "O", "O", "O", "O", "O", "O", "O", "O", "O", "O", "O", "O", "O", "O"],
  "frac_coords": [[0.740, 0.849, 0.311], [0.260, 0.349, 0.689], [0.891, 0.624, 0.023], [0.285, 0.011, 0.100], [0.715, 0.511, 0.900], [0.109, 0.124, 0.977], [0.367, 0.497, 0.092], [0.980, 0.318, 0.270], [0.341, 0.856, 0.470], [0.659, 0.356, 0.530], [0.020, 0.818, 0.730], [0.633, 0.997, 0.908], [0.205, 0.141, 0.077], [0.458, 0.769, 0.101], [0.773, 0.010, 0.103], [0.163, 0.555, 0.158], [0.833, 0.556, 0.215], [0.456, 0.989, 0.351], [0.800, 0.208, 0.353], [0.086, 0.938, 0.368], [0.582, 0.560, 0.388], [0.173, 0.401, 0.437], [0.827, 0.901, 0.563], [0.418, 0.060, 0.612], [0.914, 0.438, 0.632], [0.200, 0.708, 0.647], [0.544, 0.489, 0.649], [0.167, 0.056, 0.785], [0.837, 0.055, 0.842], [0.227, 0.510, 0.897], [0.542, 0.269, 0.899], [0.795, 0.641, 0.923]],
  "spacegroup": "No. 4",
  "total_energy_ev_per_atom": -5.08
}

=====

Record 9
{
  "formula": "PrGdH2I4",
  "functional": "GGA-PBE",
  "state": "optimized geometry",
  "lattice": [[-1.597, 3.628, 1.050], [-2.473, -3.136, -0.931], [-0.096, -4.597, 15.743]],
  "species": ["Gd", "H", "H", "I", "I", "I", "I", "Pr"],
  "frac_coords": [[0.000, 0.000, 0.000], [0.667, 0.333, 0.000], [0.333, 0.667, 0.500], [0.333, 0.667, 0.128], [0.667, 0.333, 0.366], [0.667, 0.333, 0.634], [0.333, 0.667, 0.872], [0.000, 0.000, 0.500]],
  "spacegroup": "No. 187",
  "total_energy_ev_per_atom": -4.01
}

=====

Record 10
{
  "formula": "GdPuH2I4",
  "functional": "GGA-PBE",
  "state": "optimized geometry",
  "lattice": [[-1.837, -2.099, -2.919], [3.847, -0.788, 0.938], [-4.925, -10.969, 10.985]],
  "species": ["Gd", "H", "H", "I", "I", "I", "I", "Pu"],
  "frac_coords": [[0.000, 0.000, 0.000], [0.667, 0.333, 0.000], [0.333, 0.667, 0.500], [0.333, 0.667, 0.131], [0.667, 0.333, 0.369], [0.667, 0.333, 0.631], [0.333, 0.667, 0.869], [0.000, 0.000, 0.500]],
  "spacegroup": "No. 187",
  "total_energy_ev_per_atom": -5.04
}

=====

Record 11
{
  "formula": "KGdH2S2O9",
  "functional": "GGA-PBE",
  "state": "optimized geometry",
  "lattice": [[-7.901, -5.458, 2.895], [4.405, -3.120, 6.140], [1.230, 9.345, 3.867]],
  "species": ["Gd", "Gd", "Gd", "Gd", "H", "H", "H", "H", "H", "H", "H", "H", "K", "K", "K", "K", "O", "O", "O", "O", "O", "O", "O", "O", "O", "O", "O", "O", "O", "O", "O", "O", "O", "O", "O", "O", "O", "O", "O", "O", "O", "O", "O", "O", "O", "O", "O", "O", "O", "O", "O", "O", "S", "S", "S", "S", "S", "S", "S", "S"],
  "frac_coords": [[0.758, 0.351, 0.042], [0.242, 0.851, 0.458], [0.758, 0.149, 0.542], [0.242, 0.649, 0.958], [0.210, 0.981, 0.057], [0.921, 0.017, 0.110], [0.079, 0.517, 0.390], [0.790, 0.481, 0.443], [0.210, 0.519, 0.557], [0.921, 0.483, 0.610], [0.079, 0.983, 0.890], [0.790, 0.019, 0.943], [0.708, 0.835, 0.182], [0.292, 0.335, 0.318], [0.708, 0.665, 0.682], [0.292, 0.165, 0.818], [0.818, 0.062, 0.044], [0.076, 0.227, 0.055], [0.560, 0.237, 0.081], [0.397, 0.440, 0.109], [0.898, 0.590, 0.121], [0.143, 0.617, 0.125], [0.431, 0.784, 0.177], [0.040, 0.834, 0.211], [0.673, 0.483, 0.216], [0.327, 0.983, 0.284], [0.960, 0.334, 0.289], [0.569, 0.284, 0.323], [0.857, 0.117, 0.375], [0.102, 0.090, 0.379], [0.603, 0.940, 0.391], [0.440, 0.737, 0.419], [0.924, 0.727, 0.445], [0.182, 0.562, 0.456], [0.818, 0.438, 0.544], [0.076, 0.273, 0.555], [0.560, 0.263, 0.581], [0.397, 0.060, 0.609], [0.898, 0.910, 0.621], [0.143, 0.883, 0.625], [0.431, 0.716, 0.677], [0.040, 0.666, 0.711], [0.673, 0.017, 0.716], [0.327, 0.517, 0.784], [0.960, 0.166, 0.789], [0.569, 0.216, 0.823], [0.857, 0.383, 0.875], [0.102, 0.410, 0.879], [0.603, 0.560, 0.891], [0.440, 0.763, 0.919], [0.924, 0.773, 0.945], [0.182, 0.938, 0.956], [0.999, 0.702, 0.095], [0.549, 0.361, 0.184], [0.451, 0.861, 0.316], [0.001, 0.202, 0.405], [0.999, 0.798, 0.595], [0.549, 0.139, 0.684], [0.451, 0.639, 0.816], [0.001, 0.298, 0.905]],
  "spacegroup": "No. 14",
  "total_energy_ev_per_atom": -6.23
}

=====

Record 12
{
  "formula": "NaGdRe4H8O20",
  "functional": "GGA-PBE",
  "state": "optimized geometry",
  "lattice": [[-6.893, -10.146, 0.215], [10.110, -6.843, 1.208], [-0.392, 0.382, 5.448]],
  "species": ["Gd", "Gd", "H", "H", "H", "H", "H", "H", "H", "H", "H", "H", "H", "H", "H", "H", "H", "H", "Na", "Na", "O", "O", "O", "O", "O", "O", "O", "O", "O", "O", "O", "O", "O", "O", "O", "O", "O", "O", "O", "O", "O", "O", "O", "O", "O", "O", "O", "O", "O", "O", "O", "O", "O", "O", "O", "O", "O", "O", "O", "O", "Re", "Re", "Re", "Re", "Re", "Re", "Re", "Re"],
  "frac_coords": [[0.000, 0.500, 0.250], [0.500, 0.000, 0.750], [0.638, 0.165, 0.004], [0.362, 0.835, 0.004], [0.219, 0.480, 0.022], [0.781, 0.520, 0.022], [0.020, 0.281, 0.478], [0.980, 0.719, 0.478], [0.665, 0.138, 0.496], [0.335, 0.862, 0.496], [0.138, 0.335, 0.504], [0.862, 0.665, 0.504], [0.719, 0.020, 0.522], [0.281, 0.980, 0.522], [0.520, 0.219, 0.978], [0.480, 0.781, 0.978], [0.165, 0.362, 0.996], [0.835, 0.638, 0.996], [0.500, 0.500, 0.000], [0.000, 0.000, 0.500], [0.767, 0.191, 0.003], [0.233, 0.809, 0.003], [0.148, 0.442, 0.010], [0.852, 0.558, 0.010], [0.935, 0.350, 0.014], [0.065, 0.650, 0.014], [0.674, 0.448, 0.158], [0.326, 0.552, 0.158], [0.137, 0.020, 0.170], [0.863, 0.980, 0.170], [0.480, 0.363, 0.330], [0.520, 0.637, 0.330], [0.948, 0.174, 0.342], [0.052, 0.826, 0.342], [0.850, 0.435, 0.486], [0.150, 0.565, 0.486], [0.058, 0.352, 0.490], [0.942, 0.648, 0.490], [0.691, 0.267, 0.497], [0.309, 0.733, 0.497], [0.267, 0.309, 0.503], [0.733, 0.691, 0.503], [0.648, 0.058, 0.510], [0.352, 0.942, 0.510], [0.435, 0.150, 0.514], [0.565, 0.850, 0.514], [0.174, 0.052, 0.658], [0.826, 0.948, 0.658], [0.637, 0.480, 0.670], [0.363, 0.520, 0.670], [0.980, 0.137, 0.830], [0.020, 0.863, 0.830], [0.448, 0.326, 0.842], [0.552, 0.674, 0.842], [0.350, 0.065, 0.986], [0.650, 0.935, 0.986], [0.558, 0.148, 0.990], [0.442, 0.852, 0.990], [0.191, 0.233, 0.997], [0.809, 0.767, 0.997], [0.906, 0.210, 0.046], [0.094, 0.790, 0.046], [0.710, 0.406, 0.454], [0.290, 0.594, 0.454], [0.406, 0.290, 0.546], [0.594, 0.710, 0.546], [0.210, 0.094, 0.954], [0.790, 0.906, 0.954]],
  "spacegroup": "No. 118",
  "total_energy_ev_per_atom": -6.92
}